Entry 1:
A relaxed structure of Li2Ni6Rh, computed with GGA-PBE.

Computed properties:
DFT formation energy	0.016	eV per atom
energy	-91.4	eV/cell
DOS(E_F)	11.13	states/eV/f.u.
crystal system	tetragonal
total magnetization	3.93	μB per formula unit

Lattice parameters (Å, degrees): 7.588 7.588 3.546 90.00 90.00 90.00
Positions (direct):
Li 0.165 0.165 0.000
Li 0.335 0.665 0.500
Li 0.665 0.335 0.500
Li 0.835 0.835 0.000
Ni 0.003 0.662 0.500
Ni 0.162 0.497 0.000
Ni 0.173 0.827 0.000
Ni 0.327 0.327 0.500
Ni 0.338 0.997 0.500
Ni 0.497 0.162 0.000
Ni 0.503 0.838 0.000
Ni 0.662 0.003 0.500
Ni 0.673 0.673 0.500
Ni 0.827 0.173 0.000
Ni 0.838 0.503 0.000
Ni 0.997 0.338 0.500
Rh 0.000 0.000 0.500
Rh 0.500 0.500 0.000

Entry 2:
A relaxed structure of LiNi5Rh2, computed with GGA-PBE.

Computed properties:
DFT formation energy	0.100	eV per atom
energy	-89.4	eV/cell
DOS(E_F)	10.51	states/eV/f.u.
crystal system	orthorhombic
total magnetization	5.06	μB per formula unit

Lattice parameters (Å, degrees): 2.578 8.105 9.550 90.00 90.00 90.00
Positions (direct):
Li 0.000 0.000 0.000
Li 0.500 0.500 0.500
Ni 0.000 0.225 0.372
Ni 0.000 0.225 0.628
Ni 0.000 0.500 0.000
Ni 0.000 0.775 0.372
Ni 0.000 0.775 0.628
Ni 0.500 0.000 0.500
Ni 0.500 0.275 0.128
Ni 0.500 0.275 0.872
Ni 0.500 0.725 0.128
Ni 0.500 0.725 0.872
Rh 0.000 0.500 0.261
Rh 0.000 0.500 0.739
Rh 0.500 0.000 0.239
Rh 0.500 0.000 0.761

Entry 3:
A relaxed structure of Li2NiRh, computed with GGA-PBE.

Computed properties:
DFT formation energy	-0.034	eV per atom
energy	-34.2	eV/cell
DOS(E_F)	4.37	states/eV/f.u.
crystal system	tetragonal
total magnetization	0.69	μB per formula unit

Lattice parameters (Å, degrees): 3.540 3.540 8.092 90.00 90.00 90.00
Positions (direct):
Li 0.000 0.500 0.250
Li 0.000 0.500 0.750
Li 0.500 0.000 0.250
Li 0.500 0.000 0.750
Ni 0.000 0.000 0.000
Ni 0.500 0.500 0.500
Rh 0.000 0.000 0.500
Rh 0.500 0.500 0.000

Entry 4:
A relaxed structure of LiNiRh3, computed with GGA-PBE.

Computed properties:
DFT formation energy	0.798	eV per atom
energy	-25.8	eV/cell
DOS(E_F)	6.25	states/eV/f.u.
crystal system	cubic
total magnetization	2.18	μB per formula unit

Lattice parameters (Å, degrees): 4.085 4.085 4.085 90.00 90.00 90.00
Positions (direct):
Li 0.000 0.000 0.000
Ni 0.500 0.500 0.500
Rh 0.000 0.000 0.500
Rh 0.000 0.500 0.000
Rh 0.500 0.000 0.000

Entry 5:
A relaxed structure of LiNiRh, computed with GGA-PBE.

Computed properties:
DFT formation energy	0.030	eV per atom
energy	-29.9	eV/cell
DOS(E_F)	3.89	states/eV/f.u.
crystal system	tetragonal
total magnetization	0.69	μB per formula unit

Lattice parameters (Å, degrees): 2.619 2.619 11.411 90.00 90.00 90.00
Positions (direct):
Li 0.000 0.000 0.000
Li 0.500 0.500 0.500
Ni 0.000 0.000 0.331
Ni 0.500 0.500 0.831
Rh 0.000 0.000 0.677
Rh 0.500 0.500 0.177

Entry 6:
A relaxed structure of Li4Ni2Rh, computed with GGA-PBE.

Computed properties:
DFT formation energy	0.112	eV per atom
energy	-51.6	eV/cell
DOS(E_F)	6.75	states/eV/f.u.
crystal system	tetragonal
total magnetization	0.92	μB per formula unit

Lattice parameters (Å, degrees): 6.089 6.089 4.641 90.00 90.00 90.00
Positions (direct):
Li 0.199 0.199 0.000
Li 0.199 0.801 0.000
Li 0.301 0.301 0.500
Li 0.301 0.699 0.500
Li 0.699 0.301 0.500
Li 0.699 0.699 0.500
Li 0.801 0.199 0.000
Li 0.801 0.801 0.000
Ni 0.000 0.500 0.250
Ni 0.000 0.500 0.750
Ni 0.500 0.000 0.250
Ni 0.500 0.000 0.750
Rh 0.000 0.000 0.500
Rh 0.500 0.500 0.000

Entry 7:
A relaxed structure of LiNiRh, computed with GGA-PBE.

Computed properties:
DFT formation energy	0.015	eV per atom
energy	-15.0	eV/cell
DOS(E_F)	3.76	states/eV/f.u.
crystal system	trigonal
total magnetization	1.58	μB per formula unit

Lattice parameters (Å, degrees): 4.082 4.082 2.578 90.00 90.00 120.00
Positions (direct):
Li 0.000 0.000 0.000
Ni 0.667 0.333 0.195
Rh 0.333 0.667 0.618

Entry 8:
A relaxed structure of LiNi5Rh, computed with GGA-PBE.

Computed properties:
DFT formation energy	0.092	eV per atom
energy	-75.1	eV/cell
DOS(E_F)	10.33	states/eV/f.u.
crystal system	monoclinic
total magnetization	3.53	μB per formula unit

Lattice parameters (Å, degrees): 4.528 4.528 8.582 101.82 101.82 98.39
Positions (direct):
Li 0.000 0.500 0.000
Li 0.500 0.000 0.500
Ni 0.086 0.279 0.544
Ni 0.143 0.857 0.250
Ni 0.279 0.086 0.044
Ni 0.352 0.434 0.347
Ni 0.434 0.352 0.847
Ni 0.566 0.648 0.153
Ni 0.648 0.566 0.653
Ni 0.721 0.914 0.956
Ni 0.857 0.143 0.750
Ni 0.914 0.721 0.456
Rh 0.216 0.784 0.750
Rh 0.784 0.216 0.250